# 1
A geometry-optimized Ac2LaCd6 structure. Source: Alexandria via LeMat-Bulk, functional PBE.

Values from the calculation:
For the total energy, the calculation gives -21.697 eV/cell. The volume comes out at 28.97 Å³ per atom. For the energy of formation, the calculation gives -0.34 eV per atom. The value obtained for the density of states at the Fermi level is 0.937 states/eV/atom.

Cell: 8.9490 8.9490 3.7595 Å, 90.00 90.00 120.00°
Fractional coordinates of all 9 atoms:
Ac 0.3333 0.6667 0.0000
Ac 0.6667 0.3333 0.0000
La 0.0000 0.0000 0.0000
Cd 0.0000 0.3299 0.5000
Cd 0.0000 0.6701 0.5000
Cd 0.3299 0.0000 0.5000
Cd 0.3299 0.3299 0.5000
Cd 0.6701 0.0000 0.5000
Cd 0.6701 0.6701 0.5000


# 2
A geometry-optimized Ac5LaCd4 structure. Source: Alexandria via LeMat-Bulk, functional PBE.

Values from the calculation:
For the total energy, the calculation gives -31.421 eV/cell. The volume comes out at 35.49 Å³ per atom. For the energy of formation, the calculation gives -0.23 eV per atom. The value obtained for the density of states at the Fermi level is 1.287 states/eV/atom.

Cell: 4.0428 4.0428 21.7155 Å, 90.00 90.00 90.00°
Fractional coordinates of all 10 atoms:
Ac 0.0000 0.0000 0.0000
Ac 0.0000 0.0000 0.1895
Ac 0.0000 0.0000 0.3795
Ac 0.0000 0.0000 0.6205
Ac 0.0000 0.0000 0.8105
La 0.5000 0.5000 0.5000
Cd 0.5000 0.5000 0.0946
Cd 0.5000 0.5000 0.2865
Cd 0.5000 0.5000 0.7135
Cd 0.5000 0.5000 0.9054


# 3
A geometry-optimized Ac8La5Cd structure. Source: Alexandria via LeMat-Bulk, functional PBE.

Values from the calculation:
For the total energy, the calculation gives -56.733 eV/cell. The volume comes out at 41.76 Å³ per atom. For the energy of formation, the calculation gives 0.12 eV per atom. The value obtained for the density of states at the Fermi level is 1.515 states/eV/atom.

Cell: 9.1355 9.1355 9.1355 Å, 111.55 111.55 105.39°
Fractional coordinates of all 14 atoms:
Ac 0.1660 0.4102 0.5976
Ac 0.3376 0.2262 0.2607
Ac 0.4316 0.8340 0.2442
Ac 0.5898 0.1875 0.7558
Ac 0.7738 0.0345 0.1114
Ac 0.8125 0.5684 0.4024
Ac 0.9231 0.6624 0.8886
Ac 0.9655 0.0769 0.7393
La 0.0771 0.4768 0.1918
La 0.1148 0.9229 0.3997
La 0.2850 0.8852 0.8082
La 0.5000 0.5000 0.0000
La 0.5232 0.7150 0.6003
Cd 0.7500 0.2500 0.5000


# 4
A geometry-optimized Ac12La3Cd structure. Source: Alexandria via LeMat-Bulk, functional PBE.

Values from the calculation:
For the total energy, the calculation gives -64.971 eV/cell. The volume comes out at 41.97 Å³ per atom. For the energy of formation, the calculation gives 0.00 eV per atom. The value obtained for the density of states at the Fermi level is 1.483 states/eV/atom.

Cell: 5.5031 5.5031 22.1714 Å, 90.00 90.00 90.00°
Fractional coordinates of all 16 atoms:
Ac 0.0000 0.0000 0.0000
Ac 0.0000 0.0000 0.2463
Ac 0.0000 0.0000 0.5000
Ac 0.0000 0.0000 0.7537
Ac 0.0000 0.5000 0.1211
Ac 0.0000 0.5000 0.3731
Ac 0.0000 0.5000 0.6269
Ac 0.0000 0.5000 0.8789
Ac 0.5000 0.0000 0.1211
Ac 0.5000 0.0000 0.3731
Ac 0.5000 0.0000 0.6269
Ac 0.5000 0.0000 0.8789
La 0.5000 0.5000 0.2462
La 0.5000 0.5000 0.5000
La 0.5000 0.5000 0.7538
Cd 0.5000 0.5000 0.0000


# 5
A geometry-optimized AcLa2Cd structure. Source: Alexandria via LeMat-Bulk, functional PBE.

Values from the calculation:
For the total energy, the calculation gives -15.540 eV/cell. The volume comes out at 35.26 Å³ per atom. For the energy of formation, the calculation gives -0.17 eV per atom. Its energy above the lowest structure with this stoichiometry is 0.0 meV per atom. The value obtained for the density of states at the Fermi level is 1.417 states/eV/atom.

Cell: 3.9055 3.9055 9.2479 Å, 90.00 90.00 90.00°
Fractional coordinates of all 4 atoms:
Ac 0.0000 0.0000 0.0000
La 0.5000 0.5000 0.2836
La 0.5000 0.5000 0.7164
Cd 0.0000 0.0000 0.5000


# 6
A geometry-optimized AcLa2Cd8 structure. Source: Alexandria via LeMat-Bulk, functional PBE.

Values from the calculation:
For the total energy, the calculation gives -24.707 eV/cell. The volume comes out at 27.37 Å³ per atom. For the energy of formation, the calculation gives -0.31 eV per atom. The value obtained for the density of states at the Fermi level is 0.695 states/eV/atom.

Cell: 9.2844 9.2844 5.4677 Å, 107.07 107.07 124.56°
Fractional coordinates of all 11 atoms:
Ac 0.0000 0.0000 0.0000
La 0.3082 0.6918 0.5000
La 0.6918 0.3082 0.5000
Cd 0.1009 0.3570 0.7299
Cd 0.2038 0.7962 0.0000
Cd 0.3570 0.1009 0.7299
Cd 0.4979 0.4979 0.7492
Cd 0.5021 0.5021 0.2508
Cd 0.6430 0.8991 0.2701
Cd 0.7962 0.2038 0.0000
Cd 0.8991 0.6430 0.2701


# 7
A geometry-optimized AcLa2Cd structure. Source: Alexandria via LeMat-Bulk, functional PBE.

Values from the calculation:
For the total energy, the calculation gives -15.255 eV/cell. The volume comes out at 34.54 Å³ per atom. For the energy of formation, the calculation gives -0.09 eV per atom. Its energy above the lowest structure with this stoichiometry is 71.1 meV per atom. The value obtained for the density of states at the Fermi level is 1.715 states/eV/atom.

Cell: 5.1350 5.1350 5.2403 Å, 90.00 90.00 90.00°
Fractional coordinates of all 4 atoms:
Ac 0.0000 0.0000 0.0000
La 0.0000 0.5000 0.5000
La 0.5000 0.0000 0.5000
Cd 0.5000 0.5000 0.0000


# 8
A geometry-optimized AcLa3Cd structure. Source: Alexandria via LeMat-Bulk, functional PBE.

Values from the calculation:
For the total energy, the calculation gives -19.569 eV/cell. The volume comes out at 36.33 Å³ per atom. For the energy of formation, the calculation gives 0.05 eV per atom. Its energy above the lowest structure with this stoichiometry is 208.5 meV per atom. The value obtained for the density of states at the Fermi level is 1.285 states/eV/atom.

Cell: 5.0901 5.0901 7.8792 Å, 108.82 108.82 90.01°
Fractional coordinates of all 5 atoms:
Ac 0.0000 0.0000 0.0000
La 0.2419 0.7414 0.4824
La 0.3771 0.3771 0.7548
La 0.7414 0.2419 0.4824
Cd 0.5957 0.5957 0.1894


# 9
A geometry-optimized Ac2LaCd2 structure. Source: Alexandria via LeMat-Bulk, functional PBE.

Values from the calculation:
For the total energy, the calculation gives -15.812 eV/cell. The volume comes out at 35.79 Å³ per atom. For the energy of formation, the calculation gives -0.17 eV per atom. Its energy above the lowest structure with this stoichiometry is 0.0 meV per atom. The value obtained for the density of states at the Fermi level is 1.404 states/eV/atom.

Cell: 11.2837 11.2837 3.9836 Å, 90.00 90.00 159.34°
Fractional coordinates of all 5 atoms:
Ac 0.1752 0.8248 0.0000
Ac 0.8248 0.1752 0.0000
La 0.0000 0.0000 0.0000
Cd 0.4171 0.5829 0.5000
Cd 0.5829 0.4171 0.5000


# 10
A geometry-optimized Ac2La2Cd3 structure. Source: Alexandria via LeMat-Bulk, functional PBE.

Values from the calculation:
For the total energy, the calculation gives -21.941 eV/cell. The volume comes out at 35.22 Å³ per atom. For the energy of formation, the calculation gives -0.16 eV per atom. The value obtained for the density of states at the Fermi level is 1.521 states/eV/atom.

Cell: 5.6545 5.6563 9.4662 Å, 72.74 72.87 60.05°
Fractional coordinates of all 7 atoms:
Ac 0.1190 0.1175 0.1461
Ac 0.8810 0.8825 0.8539
La 0.3735 0.3707 0.3855
La 0.6265 0.6293 0.6145
Cd 0.2480 0.2502 0.7515
Cd 0.5000 0.5000 0.0000
Cd 0.7520 0.7498 0.2485


# 11
A geometry-optimized Ac5LaCd6 structure. Source: Alexandria via LeMat-Bulk, functional PBE.

Values from the calculation:
For the total energy, the calculation gives -34.544 eV/cell. The volume comes out at 33.30 Å³ per atom. For the energy of formation, the calculation gives -0.30 eV per atom. The value obtained for the density of states at the Fermi level is 1.278 states/eV/atom.

Cell: 5.7262 8.1090 9.0563 Å, 90.00 108.15 90.00°
Fractional coordinates of all 12 atoms:
Ac 0.0000 0.0000 0.0000
Ac 0.3331 0.0000 0.6661
Ac 0.3331 0.5000 0.6664
Ac 0.6669 0.0000 0.3339
Ac 0.6669 0.5000 0.3336
La 0.0000 0.5000 0.0000
Cd 0.1637 0.2533 0.3271
Cd 0.1637 0.7467 0.3271
Cd 0.5000 0.2576 0.0000
Cd 0.5000 0.7424 0.0000
Cd 0.8363 0.2533 0.6729
Cd 0.8363 0.7467 0.6729


# 12
A geometry-optimized Ac3LaCd structure. Source: Alexandria via LeMat-Bulk, functional PBE.

Values from the calculation:
For the total energy, the calculation gives -36.271 eV/cell. The volume comes out at 40.77 Å³ per atom. For the energy of formation, the calculation gives 0.01 eV per atom. Its energy above the lowest structure with this stoichiometry is 17.1 meV per atom. The value obtained for the density of states at the Fermi level is 1.506 states/eV/atom.

Cell: 11.5379 11.5379 9.1426 Å, 90.11 90.11 19.57°
Fractional coordinates of all 10 atoms:
Ac 0.0336 0.0336 0.2279
Ac 0.1817 0.1817 0.5675
Ac 0.3842 0.3842 0.0956
Ac 0.6158 0.6158 0.9044
Ac 0.8183 0.8183 0.4325
Ac 0.9664 0.9664 0.7721
La 0.2187 0.2187 0.1540
La 0.7813 0.7813 0.8460
Cd 0.4397 0.4397 0.4501
Cd 0.5603 0.5603 0.5499